1.
# TlCrFeSi2

A relaxed structure of TlCrFeSi2 (PBE, the Alexandria database).

Results
formation energy from raw total energies = 657 meV per atom
volume = 86.29 Å³/cell
D(E_F) = 5.89 states/eV/f.u.
E above lowest polymorph = 0.00 eV per formula unit
E = -28.0 eV for the cell shown
magnetic moment = 0.15 Bohr magnetons per cell
symmetry = P4/mmm (123)

Unit cell a=4.3302 b=4.6022 c=4.3302 alpha=90.00 beta=90.00 gamma=90.00
Last column: magnetic moment on the atom in μB.
Fractional coordinates of all 5 atoms:
1 Cr 0.0000 0.5000 0.0000  -0.31
2 Fe 0.0000 0.0000 0.0000  0.15
3 Tl 0.5000 0.5000 0.5000  0.01
4 Si 0.5000 0.0000 0.0000  -0.01
5 Si 0.0000 0.0000 0.5000  0.00

2.
# TlCrFeSi2

A relaxed structure of TlCrFeSi2 (PBE, the Alexandria database).

Results
formation energy from raw total energies = 669 meV per atom
volume = 96.73 Å³/cell
D(E_F) = 4.17 states/eV/f.u.
E above lowest polymorph = 0.06 eV per formula unit
E = -28.0 eV for the cell shown
magnetic moment = 3.40 Bohr magnetons per cell
symmetry = P4/mmm (123)

Unit cell a=4.5231 b=4.7278 c=4.5231 alpha=90.00 beta=90.00 gamma=90.00
Last column: magnetic moment on the atom in μB.
Fractional coordinates of all 5 atoms:
1 Cr 0.0000 0.0000 0.0000  0.00
2 Si 0.0000 0.0000 0.5000  0.03
3 Si 0.5000 0.0000 0.0000  0.04
4 Tl 0.5000 0.5000 0.5000  0.04
5 Fe 0.0000 0.5000 0.0000  3.06